The following is a PBE-GGA calculation of an optimized crystal structure of K3PdBr8, from the Alexandria database.

Computed properties:
Formation energy (no corrections), eV per atom: -0.74

abc: 8.330 8.330 11.645
angles: 90.00 90.00 90.00
Space group I4/mmm (No. 139)
Unique sites:
K (0.000, 0.000, 0.000)
K (0.000, 0.500, 0.250)
Pd (0.000, 0.000, 0.500)
Br (0.221, 0.221, 0.373)



The following is a PBE-GGA calculation of an optimized crystal structure of InCo2Cl, from the Alexandria database.

Computed properties:
Formation energy (no corrections), eV per atom: 0.17

abc: 9.418 3.110 7.135
angles: 90.00 128.77 90.00
Space group C2/m (No. 12)
Unique sites:
In (0.000, 0.000, 0.000)
Co (0.162, 0.500, 0.857)
Cl (0.000, 0.000, 0.500)